Record 1
This record from the Alexandria database describes crystalline Nd4TeC2 at its relaxed geometry. The functional is PBE-GGA.

Cell and atoms, written as POSCAR:
```
Nd4TeC2
1.0
3.882 0.000 0.000
1.941 3.362 0.000
1.941 1.121 14.080
Nd Te C
4 1 2
Direct
0.119 0.119 0.642
0.280 0.280 0.160
0.720 0.720 0.840
0.881 0.881 0.358
0.000 0.000 0.000
0.423 0.423 0.732
0.577 0.577 0.268
```

Properties
- symmetry = R-3m
- formation energy from raw total energies (meV/atom) = -440
- electronic total energy (eV/atom) = -6.249
- calculated density (g/cm³) = 6.58
- D(E_F) (states/eV per cell) = 3.8
- spin magnetization (μB/cell) = 0.0

---

Record 2
This record from the Alexandria database describes crystalline Nd4TeC at its relaxed geometry. The functional is PBE-GGA.

Cell and atoms, written as POSCAR:
```
Nd4TeC
1.0
6.086 1.104 1.682
3.796 7.728 4.802
0.740 0.428 8.845
Nd Te C
8 2 2
Direct
0.849 0.252 0.906
0.113 0.052 0.614
0.651 0.842 0.906
0.387 0.333 0.614
0.613 0.667 0.386
0.349 0.158 0.094
0.887 0.948 0.386
0.151 0.748 0.094
0.750 0.377 0.245
0.250 0.623 0.755
0.250 0.927 0.146
0.750 0.073 0.854
```

Properties
- symmetry = C2/c
- formation energy from raw total energies (meV/atom) = -435
- electronic total energy (eV/atom) = -5.674
- calculated density (g/cm³) = 6.55
- D(E_F) (states/eV per cell) = 12.0
- spin magnetization (μB/cell) = 0.0

---

Record-wise calculated volume values, in Å³/cell: 183.8, 363.4